No. 1
{"formula": "RbCaFe2I8", "functional": "PBE", "state": "relaxed", "raw_formation_energy_mev_per_atom": -723, "dft_energy_ev_per_atom": -3.414, "lattice_angstrom": [[-1.935, 6.535, 3.089], [0.469, -6.149, 4.238], [10.455, 2.161, 1.978]], "species": ["Rb", "Ca", "Fe", "Fe", "I", "I", "I", "I", "I", "I", "I", "I"], "fractional_positions": [[0.000, 0.000, 0.000], [0.000, 0.000, 0.500], [0.667, 0.333, 0.250], [0.333, 0.667, 0.750], [0.333, 0.667, 0.985], [0.335, 0.334, 0.323], [0.666, 0.001, 0.323], [0.667, 0.333, 0.015], [0.334, 0.999, 0.677], [0.665, 0.666, 0.677], [0.001, 0.335, 0.677], [0.999, 0.665, 0.323]]}

---

No. 2
{"formula": "RbCa2FeI", "functional": "PBE", "state": "relaxed", "raw_formation_energy_mev_per_atom": 579, "dft_energy_ev_per_atom": -2.417, "lattice_angstrom": [[6.262, 0.000, 0.000], [0.000, 4.725, 0.000], [0.000, 0.000, 6.262]], "species": ["I", "Ca", "Ca", "Fe", "Rb"], "fractional_positions": [[0.000, 0.000, 0.000], [0.000, 0.000, 0.500], [0.500, 0.000, 0.000], [0.000, 0.500, 0.000], [0.500, 0.500, 0.500]]}

---

No. 3
{"formula": "Ca2FeReI", "functional": "PBE", "state": "relaxed", "raw_formation_energy_mev_per_atom": 405, "dft_energy_ev_per_atom": -4.888, "lattice_angstrom": [[5.666, 0.000, 0.000], [0.000, 4.325, 0.000], [0.000, 0.000, 5.666]], "species": ["I", "Re", "Ca", "Ca", "Fe"], "fractional_positions": [[0.500, 0.500, 0.500], [0.000, 0.500, 0.000], [0.000, 0.000, 0.500], [0.500, 0.000, 0.000], [0.000, 0.000, 0.000]]}

---

No. 4
{"formula": "CaFe2SiI", "functional": "PBE", "state": "relaxed", "raw_formation_energy_mev_per_atom": 399, "dft_energy_ev_per_atom": -4.781, "lattice_angstrom": [[-1.806, 3.010, -2.733], [-3.444, -4.390, -2.559], [-3.210, 0.781, 2.980]], "species": ["I", "Ca", "Si", "Fe", "Fe"], "fractional_positions": [[0.000, 0.500, 0.000], [0.500, 0.500, 0.500], [0.000, 0.000, 0.000], [0.000, 0.000, 0.500], [0.500, 0.000, 0.000]]}

---

No. 5
{"formula": "CaTlFeI5", "functional": "PBE", "state": "relaxed", "raw_formation_energy_mev_per_atom": -770, "dft_energy_ev_per_atom": -3.342, "lattice_angstrom": [[8.431, 0.128, -0.080], [-2.338, 8.102, -0.080], [-2.639, -3.564, 10.289]], "species": ["Ca", "Ca", "Tl", "Tl", "Fe", "Fe", "I", "I", "I", "I", "I", "I", "I", "I", "I", "I"], "fractional_positions": [[0.000, 0.000, 0.500], [0.000, 0.000, 0.000], [0.351, 0.649, 0.250], [0.649, 0.351, 0.750], [0.682, 0.318, 0.250], [0.318, 0.682, 0.750], [0.092, 0.908, 0.250], [0.908, 0.092, 0.750], [0.918, 0.336, 0.133], [0.082, 0.664, 0.867], [0.664, 0.082, 0.367], [0.336, 0.918, 0.633], [0.743, 0.610, 0.437], [0.257, 0.390, 0.563], [0.390, 0.257, 0.063], [0.610, 0.743, 0.937]]}

---

No. 6
{"formula": "CaTlFe2I8", "functional": "PBE", "state": "relaxed", "raw_formation_energy_mev_per_atom": -573, "dft_energy_ev_per_atom": -3.381, "lattice_angstrom": [[-0.391, 5.130, -5.502], [-0.073, -3.307, -6.768], [-10.235, -0.367, -0.127]], "species": ["Ca", "Tl", "Fe", "Fe", "I", "I", "I", "I", "I", "I", "I", "I"], "fractional_positions": [[0.000, 0.000, 0.000], [0.000, 0.000, 0.500], [0.629, 0.629, 0.226], [0.371, 0.371, 0.774], [0.745, 0.258, 0.775], [0.746, 0.746, 0.012], [0.722, 0.722, 0.442], [0.278, 0.278, 0.558], [0.254, 0.254, 0.988], [0.258, 0.745, 0.775], [0.742, 0.255, 0.225], [0.255, 0.742, 0.225]]}

---

No. 7
{"formula": "CaVFeI2", "functional": "PBE", "state": "relaxed", "raw_formation_energy_mev_per_atom": 1025, "dft_energy_ev_per_atom": -3.511, "lattice_angstrom": [[-2.595, 0.318, -5.258], [-0.793, -5.921, 0.034], [-5.210, 0.713, 2.614]], "species": ["I", "I", "Ca", "Fe", "V"], "fractional_positions": [[0.000, 0.000, 0.500], [0.500, 0.000, 0.000], [0.000, 0.000, 0.000], [0.500, 0.500, 0.500], [0.000, 0.500, 0.000]]}

---

No. 8
{"formula": "Ca2FeWI", "functional": "PBE", "state": "relaxed", "raw_formation_energy_mev_per_atom": 1387, "dft_energy_ev_per_atom": -4.007, "lattice_angstrom": [[-5.500, 1.733, 0.047], [-1.351, -4.317, 1.126], [0.462, 1.315, 5.596]], "species": ["I", "Ca", "Ca", "Fe", "W"], "fractional_positions": [[0.000, 0.000, 0.000], [0.000, 0.000, 0.500], [0.500, 0.000, 0.000], [0.000, 0.500, 0.000], [0.500, 0.500, 0.500]]}